K3NaCl4 | PBE | optimized geometry

Properties
Crystal system: cubic
ΔE to the lowest computed polymorph, meV per atom: 11
Raw formation energy, eV/f.u.: -15.117

abc: 6.2383 6.2383 6.2383
angles: 90.00 90.00 90.00
Space group Pm-3m (No. 221)
Asymmetric unit:
K  0.0000  0.0000  0.5000 x3
Na  0.5000  0.5000  0.5000 x1
Cl  0.0000  0.0000  0.0000 x1
Cl  0.0000  0.5000  0.5000 x3

=====

KNaNbCl6 | PBE | optimized geometry

Properties
Crystal system: trigonal
Raw formation energy, eV/f.u.: -13.813

abc: 6.9842 6.9842 13.3033
angles: 90.00 90.00 120.00
Space group P-31c (No. 163)
Asymmetric unit:
K  0.0000  0.0000  0.0000 x2
Na  0.3333  0.6667  0.2500 x2
Nb  0.3333  0.6667  0.7500 x2
Cl  0.0420  0.3883  0.6435 x12

=====

K2NaNdCl6 | PBE | optimized geometry

Properties
Crystal system: cubic
Raw formation energy, eV/f.u.: -20.325

abc: 10.9073 10.9073 10.9073
angles: 90.00 90.00 90.00
Space group Fm-3m (No. 225)
Asymmetric unit:
K  0.2500  0.2500  0.2500 x8
Na  0.0000  0.0000  0.0000 x4
Nd  0.0000  0.0000  0.5000 x4
Cl  0.0000  0.0000  0.2507 x24

=====

KNa2NdCl6 | PBE | optimized geometry

Properties
Crystal system: trigonal
Raw formation energy, eV/f.u.: -20.344

abc: 7.2777 7.2777 19.7677
angles: 90.00 90.00 120.00
Space group R3 (No. 146, hexagonal axes)
Asymmetric unit:
K  0.0000  0.0000  0.0000 x3
Na  0.0000  0.0000  0.2872 x3
Na  0.0000  0.0000  0.7975 x3
Nd  0.0000  0.0000  0.4860 x3
Cl  0.0146  0.3392  0.5525 x9
Cl  0.0277  0.6219  0.0598 x9

=====

K2NaNiCl6 | PBE | optimized geometry

Properties
Crystal system: trigonal
Raw formation energy, eV/f.u.: -13.119

abc: 6.9469 6.9469 38.6314
angles: 90.00 90.00 120.00
Space group R-3m (No. 166, hexagonal axes)
Asymmetric unit:
K  0.0000  0.0000  0.1336 x6
K  0.0000  0.0000  0.3048 x6
Na  0.0000  0.0000  0.4139 x6
Ni  0.0000  0.0000  0.0000 x3
Ni  0.0000  0.0000  0.5000 x3
Cl  0.0174  0.5087  0.1322 x18
Cl  0.0194  0.5097  0.7020 x18

=====

K3NaNi2Cl9 | PBE | optimized geometry

Properties
Crystal system: trigonal
Raw formation energy, eV/f.u.: -18.379

abc: 6.9515 6.9515 8.7937
angles: 90.00 90.00 120.00
Space group P-3m1 (No. 164)
Asymmetric unit:
K  0.0000  0.0000  0.0000 x1
K  0.3333  0.6667  0.6801 x2
Na  0.0000  0.0000  0.5000 x1
Ni  0.3333  0.6667  0.1622 x2
Cl  0.0000  0.5000  0.0000 x3
Cl  0.1759  0.3519  0.3082 x6